The following is a DFT calculation (PBE) of a relaxed LiAlSeBr2 crystal.

Lattice parameters (Å, degrees): 4.9934 4.9934 4.9718 90.00 90.00 90.00
Space group P4/mmm (No. 123)
Unique sites:
Li (0.0000, 0.0000, 0.0000) [1 per cell]
Al (0.5000, 0.5000, 0.5000) [1 per cell]
Se (0.0000, 0.0000, 0.5000) [1 per cell]
Br (0.0000, 0.5000, 0.0000) [2 per cell]

E_form (uncorrected) = -0.66 eV per formula unit
E above lowest polymorph = 0.548 eV/atom

The following is a DFT calculation (PBE) of a relaxed Ga2HgAsSe6 crystal.

Lattice parameters (Å, degrees): 12.8935 12.2295 7.3655 90.00 110.46 90.00
Space group C2/c (No. 15)
Unique sites:
Ga (0.1953, 0.0892, 0.1862) [8 per cell]
Hg (0.0000, 0.3045, 0.2500) [4 per cell]
As (0.0000, 0.2904, 0.7500) [4 per cell]
Se (0.1057, 0.4253, 0.6383) [8 per cell]
Se (0.1083, 0.0477, 0.4304) [8 per cell]
Se (0.1585, 0.2849, 0.1174) [8 per cell]

E_form (uncorrected) = -2.49 eV per formula unit

The records above give, respectively, raw total energy values of -13.14, -137.59 eV per cell.
The records above give, respectively, calculated volume values of 124, 272 Å³/f.u..
The records above give, respectively, DOS at the Fermi energy values of 5.670, 14.004 states/eV per cell.